# 1
The following is a DFT calculation (PBE) of a relaxed structure of Pm2Pr4SmDy2.

Cell lengths 15.5183, 5.1737, 8.1492 Å; angles 90.00, 108.53, 90.00 degrees
With the nearest neighbours (Å) after each atom.
Space group C2/m (No. 12)
One atom of each set of equivalent atoms:
Pm  0.1116  0.0000  0.1694 (multiplicity 4)  3 Dy 3.63, 1 Sm 3.64, 7 Pr 3.65-3.69, 1 Pm 3.68
Pr  0.0545  0.5000  0.8307 (multiplicity 4)  2 Sm 3.64, 2 Dy 3.64-3.66, 4 Pm 3.65-3.68, 4 Pr 3.67-3.68
Pr  0.2224  0.0000  0.8302 (multiplicity 4)  3 Dy 3.61-3.64, 1 Sm 3.64, 3 Pm 3.65-3.69, 5 Pr 3.67-3.69
Sm  0.0000  0.0000  0.5000 (multiplicity 2)  6 Pr 3.64, 2 Pm 3.64, 4 Dy 3.67
Dy  0.1675  0.5000  0.4995 (multiplicity 4)  5 Pr 3.61-3.66, 3 Pm 3.63, 2 Dy 3.64, 2 Sm 3.67

The value obtained for the formation energy is 17 meV/atom. For the total DFT energy (no corrections), the calculation gives -4.710 eV per atom. Its density of states at the Fermi level is 28.60 states/eV/cell. The calculated volume is 620.4 Å³ per cell.

***

# 2
The following is a DFT calculation (PBE) of a relaxed structure of Pm3Nd4Hg.

Cell lengths 3.7021, 3.7021, 19.4651 Å; angles 90.00, 90.00, 90.00 degrees
With the nearest neighbours (Å) after each atom.
Space group P4/mmm (No. 123)
One atom of each set of equivalent atoms:
Pm  0.0000  0.0000  0.0000 (multiplicity 1)  8 Nd 3.67, 4 Pm 3.70
Pm  0.0000  0.0000  0.2639 (multiplicity 2)  8 Nd 3.66-3.67, 4 Pm 3.70
Nd  0.5000  0.5000  0.1318 (multiplicity 2)  8 Pm 3.67, 4 Nd 3.70
Nd  0.5000  0.5000  0.3954 (multiplicity 2)  4 Hg 3.32, 4 Pm 3.66, 4 Nd 3.70
Hg  0.0000  0.0000  0.5000 (multiplicity 1)  8 Nd 3.32, 4 Hg 3.70

The value obtained for the formation energy is -106 meV/atom. For the total DFT energy (no corrections), the calculation gives -4.309 eV per atom. Its density of states at the Fermi level is 10.92 states/eV/cell. The calculated volume is 266.8 Å³ per cell.

***

# 3
The following is a DFT calculation (PBE) of a relaxed structure of HfSiTc.

Cell lengths 3.1876, 3.1876, 9.5040 Å; angles 90.00, 90.00, 90.00 degrees
With the nearest neighbours (Å) after each atom.
Space group I4mm (No. 107)
One atom of each set of equivalent atoms:
Hf  0.0000  0.0000  0.0000 (multiplicity 2)  5 Tc 2.89-2.94, 5 Si 2.90-2.92, 4 Hf 3.19
Si  0.0000  0.0000  0.3072 (multiplicity 2)  4 Tc 2.51
Tc  0.0000  0.0000  0.6906 (multiplicity 2)  4 Si 2.51

The value obtained for the offset from the most stable computed form is 379 meV per atom. For the total DFT energy (no corrections), the calculation gives -9.099 eV per atom. Its density of states at the Fermi level is 4.33 states/eV/cell. The calculated volume is 96.6 Å³ per cell. The formation energy from raw total energies is -50.0 kJ per mole of atoms.

***

# 4
The following is a DFT calculation (PBE) of a relaxed structure of Cs2CeP2S6.

Cell lengths 11.9527, 7.0524, 8.7112 Å; angles 90.00, 113.99, 90.00 degrees
With the nearest neighbours (Å) after each atom.
Space group C2/m (No. 12)
One atom of each set of equivalent atoms:
Cs  0.2039  0.0000  0.1570 (multiplicity 4)  7 S 3.50-3.81
Ce  0.0000  0.0000  0.5000 (multiplicity 2)  6 S 2.70-2.79
P  0.0757  0.5000  0.2134 (multiplicity 4)  3 S 2.12
S  0.0187  0.2617  0.7488 (multiplicity 8)  1 P 2.12
S  0.2449  0.0000  0.5938 (multiplicity 4)  1 P 2.12

For the total DFT energy (no corrections), the calculation gives -4.846 eV per atom. Its density of states at the Fermi level is 0.75 states/eV/cell. The calculated volume is 670.9 Å³ per cell. The formation energy from raw total energies is -88.4 kJ per mole of atoms.